! meta-GGA SCAN Li2TlCr, PBEsol geometry; values from VASP
&SYSTEM
  ibrav = 0, nat = 4, ntyp = 3
/
ATOMIC_SPECIES
Cr 52.00 Cr.upf
Li 6.94 Li.upf
Tl 204.38 Tl.upf
CELL_PARAMETERS angstrom
3.9822 0.0000 0.0000
0.0000 3.9822 0.0000
0.0000 0.0000 4.4567
ATOMIC_POSITIONS angstrom
Cr 0.0000 0.0000 2.2283
Li 1.9911 0.0000 0.0000
Li 0.0000 1.9911 0.0000
Tl 1.9911 1.9911 2.2283
! Total moment   4.16 μB/cell
! DFT formation energy   -12 meV/atom
! Space group   P4/mmm (123)
! Raw total energy   -95.57 eV per cell



! meta-GGA SCAN LiCu2Ni, PBEsol geometry; values from VASP
&SYSTEM
  ibrav = 0, nat = 4, ntyp = 3
/
ATOMIC_SPECIES
Ni 58.69 Ni.upf
Li 6.94 Li.upf
Cu 63.55 Cu.upf
CELL_PARAMETERS angstrom
2.6629 0.0000 0.0000
0.0000 4.0556 0.0000
-1.3314 -2.0278 4.0984
ATOMIC_POSITIONS angstrom
Ni 0.0000 2.0278 0.0000
Li 1.3314 0.0000 0.0000
Cu 1.3314 2.0278 2.0202
Cu 0.0000 0.0000 2.0782
! Total moment   0.00 μB/cell
! DFT formation energy   65 meV/atom
! Space group   Immm (71)
! Raw total energy   -48.70 eV per cell
! Energy above the lowest structure with this stoichiometry   68.4 meV per atom



! meta-GGA SCAN Mg2Ag3, PBEsol geometry; values from VASP
&SYSTEM
  ibrav = 0, nat = 5, ntyp = 2
/
ATOMIC_SPECIES
Mg 24.30 Mg.upf
Ag 107.87 Ag.upf
CELL_PARAMETERS angstrom
-0.2555 2.6288 2.0630
-0.9991 -2.0345 2.4687
8.0049 -1.2847 -0.0940
ATOMIC_POSITIONS angstrom
Mg 1.5276 -0.2045 0.4497
Mg 5.2227 -0.4859 3.9881
Ag 2.3274 -0.0984 3.1357
Ag -0.6273 0.2971 2.2659
Ag 4.4229 -0.5920 1.3021
! Total moment   0.00 μB/cell
! DFT formation energy   -219 meV/atom
! Space group   I4/mmm (139)
! Raw total energy   -105.14 eV per cell
! Energy above the lowest structure with this stoichiometry   0.0 meV per atom



! meta-GGA SCAN YTa2Ir, PBEsol geometry; values from VASP
&SYSTEM
  ibrav = 0, nat = 4, ntyp = 3
/
ATOMIC_SPECIES
Y 88.91 Y.upf
Ta 180.95 Ta.upf
Ir 192.22 Ir.upf
CELL_PARAMETERS angstrom
-0.0225 2.7117 -3.7449
-3.9360 0.7021 -2.3223
-2.0675 4.1329 0.1508
ATOMIC_POSITIONS angstrom
Y -3.0130 3.7734 -2.9582
Ta -1.5065 1.8867 -1.4791
Ta -4.5195 5.6600 -4.4373
Ir 0.0000 0.0000 0.0000
! Total moment   0.00 μB/cell
! DFT formation energy   -1 meV/atom
! Space group   Fm-3m (225)
! Raw total energy   -232.11 eV per cell



! meta-GGA SCAN KBeMo2, PBEsol geometry; values from VASP
&SYSTEM
  ibrav = 0, nat = 4, ntyp = 3
/
ATOMIC_SPECIES
Be 9.01 Be.upf
Mo 95.94 Mo.upf
K 39.10 K.upf
CELL_PARAMETERS angstrom
2.5190 0.0000 0.0000
0.0000 5.3455 0.0000
0.0000 -2.6728 5.0641
ATOMIC_POSITIONS angstrom
Be 1.2595 0.0000 0.0000
Mo 0.0000 -1.3364 2.5321
Mo 0.0000 1.3364 2.5321
K 1.2595 2.6728 0.0000
! Total moment   0.00 μB/cell
! DFT formation energy   1503 meV/atom
! Space group   Cmmm (65)
! Raw total energy   -76.44 eV per cell



! meta-GGA SCAN Ba2VCu3S6, PBEsol geometry; values from VASP
&SYSTEM
  ibrav = 0, nat = 24, ntyp = 4
/
ATOMIC_SPECIES
S 32.06 S.upf
V 50.94 V.upf
Cu 63.55 Cu.upf
Ba 137.33 Ba.upf
CELL_PARAMETERS angstrom
-0.3044 4.0241 -7.6598
-5.5236 -6.4870 1.5387
-2.1865 6.1123 5.9529
ATOMIC_POSITIONS angstrom
S -5.8129 -0.5966 -4.0495
S -4.1724 -2.1814 1.3567
S -3.8421 5.8308 -1.5249
S -2.2016 4.2460 3.8813
S -2.3311 0.1567 -4.1778
S -6.9168 0.1823 2.5246
S -5.6834 3.4927 4.0096
S -2.3047 0.6896 -0.4261
S -1.0977 3.4671 -2.6928
S -4.7457 2.4472 -2.8004
S -3.2688 1.2022 2.6322
S -5.7098 2.9598 0.2578
V -4.3552 0.9567 -4.3470
V -3.6593 2.6926 4.1787
Cu -5.9803 4.5031 1.8529
Cu -4.8433 -0.5991 2.8232
Cu -2.0342 -0.8537 -2.0211
Cu -3.1712 4.2484 -2.9915
Cu -5.4384 1.9408 2.3101
Cu -2.5761 1.7086 -2.4784
Ba -2.5156 3.6599 0.5044
Ba -5.4988 -0.0106 -0.6726
Ba -1.1896 2.7785 -5.8977
Ba -6.8248 0.8709 5.7294
! Total moment   0.00 μB/cell
! Formation energy (no corrections)   -1232 meV per atom
! Space group   C2/c (15)
! Raw total energy   -429.47 eV per cell



! meta-GGA SCAN Ti6O, PBEsol geometry; values from VASP
&SYSTEM
  ibrav = 0, nat = 14, ntyp = 2
/
ATOMIC_SPECIES
Ti 47.87 Ti.upf
O 16.00 O.upf
CELL_PARAMETERS angstrom
5.0519 0.0000 0.0000
-2.5260 4.3751 0.0000
0.0000 0.0000 9.3728
ATOMIC_POSITIONS angstrom
Ti 0.8571 1.4517 3.5687
Ti 0.8287 1.4681 8.2550
Ti -1.6689 2.9234 8.2550
Ti 1.6857 0.0164 1.1177
Ti 1.6689 2.9234 5.8041
Ti 4.1948 1.4517 1.1177
Ti 3.3662 0.0164 3.5687
Ti 1.6973 2.9070 1.1177
Ti -0.8287 1.4681 5.8041
Ti 0.8402 4.3587 8.2550
Ti 3.3546 2.9070 3.5687
Ti -0.8402 4.3587 5.8041
O 0.0000 2.9167 7.0296
O 2.5260 1.4584 2.3432
! Total moment   0.00 μB/cell
! Formation energy (no corrections)   -891 meV per atom
! Space group   P-31c (163)
! Raw total energy   -217.29 eV per cell
! Energy above the lowest structure with this stoichiometry   0.0 meV per atom



! meta-GGA SCAN Tc5Os, PBEsol geometry; values from VASP
&SYSTEM
  ibrav = 0, nat = 6, ntyp = 2
/
ATOMIC_SPECIES
Tc 98.00 Tc.upf
Os 190.23 Os.upf
CELL_PARAMETERS angstrom
2.7160 0.0000 0.0000
-1.3580 4.9415 0.0022
0.0000 -1.5542 6.2304
ATOMIC_POSITIONS angstrom
Tc 0.0000 3.4230 1.7379
Tc 1.3580 0.7211 5.8907
Tc 1.3580 1.1197 2.0651
Tc 0.0000 2.2659 4.1516
Tc 0.0000 -0.3991 3.8131
Os 1.3580 3.3831 6.2309
! Total moment   0.00 μB/cell
! DFT formation energy   -52 meV/atom
! Space group   Cm (8)
! Raw total energy   -247.49 eV per cell
! Energy above the lowest structure with this stoichiometry   1.4 meV per atom



! meta-GGA SCAN Zr2Sb2Te, PBEsol geometry; values from VASP
&SYSTEM
  ibrav = 0, nat = 5, ntyp = 3
/
ATOMIC_SPECIES
Sb 121.76 Sb.upf
Te 127.60 Te.upf
Zr 91.22 Zr.upf
CELL_PARAMETERS angstrom
-0.8420 -2.8719 -2.8359
2.9042 -2.4429 1.6117
-5.9739 -0.2849 5.0593
ATOMIC_POSITIONS angstrom
Sb -1.0193 -2.6926 3.0294
Sb -2.8924 -2.9071 0.8056
Te 0.0000 0.0000 0.0000
Zr -3.9066 -2.3254 3.5149
Zr -0.0051 -3.2742 0.3202
! Total moment   0.00 μB/cell
! Formation energy (no corrections)   -378 meV per atom
! Space group   I4/mmm (139)
! Raw total energy   -175.06 eV per cell



! meta-GGA SCAN YZr2Tc, PBEsol geometry; values from VASP
&SYSTEM
  ibrav = 0, nat = 4, ntyp = 3
/
ATOMIC_SPECIES
Y 88.91 Y.upf
Zr 91.22 Zr.upf
Tc 98.00 Tc.upf
CELL_PARAMETERS angstrom
3.2109 0.0000 0.0144
0.0000 4.4702 0.0000
-1.5599 0.0000 5.8903
ATOMIC_POSITIONS angstrom
Y -0.1133 2.2351 4.2973
Zr -0.0163 0.0000 0.1944
Zr 1.7445 2.2351 1.6110
Tc 0.8615 0.0000 2.7543
! Total moment   0.00 μB/cell
! DFT formation energy   42 meV/atom
! Space group   Pm (6)
! Raw total energy   -124.13 eV per cell
! Energy above the lowest structure with this stoichiometry   213.8 meV per atom



! meta-GGA SCAN SrNdMgRuO6, PBEsol geometry; values from VASP
&SYSTEM
  ibrav = 0, nat = 20, ntyp = 5
/
ATOMIC_SPECIES
Ru 101.07 Ru.upf
O 16.00 O.upf
Nd 144.24 Nd.upf
Sr 87.62 Sr.upf
Mg 24.30 Mg.upf
CELL_PARAMETERS angstrom
5.4994 0.0000 -0.0073
0.0000 5.5963 0.0000
0.0286 0.0000 7.7967
ATOMIC_POSITIONS angstrom
Ru 2.7643 4.2100 3.8963
Ru 0.0003 1.3863 0.0016
O 0.4938 1.3217 1.8953
O 1.1882 5.3092 4.2382
O 1.5287 2.6002 7.5151
O 2.4073 4.0696 1.9981
O 4.2641 2.9960 3.6131
O 3.9236 0.2871 0.3362
O 3.8359 0.2106 3.5454
O 3.2578 4.2745 5.7900
O 5.1713 1.5267 5.8928
O 1.1005 5.3857 7.4474
O 4.3250 2.9221 0.2987
O 1.5896 2.6742 4.2007
Nd 0.0915 3.9085 5.8376
Nd 2.8269 1.6878 1.9356
Sr 5.4728 4.3912 1.9395
Sr 2.7374 1.2051 5.8415
Mg 2.7828 4.2307 7.7863
Mg 0.0188 1.3656 3.8916
! Total moment   6.00 μB/cell
! Formation energy (no corrections)   -2694 meV per atom
! Space group   Pc (7)
! Raw total energy   -339.97 eV per cell



! meta-GGA SCAN YSc2In2, PBEsol geometry; values from VASP
&SYSTEM
  ibrav = 0, nat = 10, ntyp = 3
/
ATOMIC_SPECIES
Y 88.91 Y.upf
In 114.82 In.upf
Sc 44.96 Sc.upf
CELL_PARAMETERS angstrom
3.5284 0.0000 0.0000
0.0000 8.2561 0.0000
0.0000 0.0000 8.2561
ATOMIC_POSITIONS angstrom
Y 0.0000 4.1280 4.1280
Y 0.0000 0.0000 0.0000
In 0.0000 3.0713 7.1993
In 0.0000 5.1848 1.0568
In 0.0000 1.0568 3.0713
In 0.0000 7.1993 5.1848
Sc 1.7642 5.5475 6.8366
Sc 1.7642 2.7086 1.4194
Sc 1.7642 6.8366 2.7086
Sc 1.7642 1.4194 5.5475
! Total moment   0.00 μB/cell
! DFT formation energy   -486 meV/atom
! Space group   P4/mbm (127)
! Raw total energy   -251.04 eV per cell



- The highest total moment belongs to which entry?
  SrNdMgRuO6



- Look up the total moment of the eighth one.
  0.00 μB/cell



- Which value of total moment does entry 10 give?
  0.00 μB/cell